VASP calculation (PBE-GGA) on a relaxed structure of Tb3TlTe3.

Calculated values
Calculated density in g cm⁻³: 8.0
Space-group type: No. 176
Uncorrected formation energy in eV/atom: -0.859
Magnetic moment in μB per formula unit: 1.05
Crystal system: hexagonal

Cell: 9.3233 9.3233 5.8520 Å, 90.00 90.00 120.00°
Closest atoms and distances in Å follow each position.
Positions (direct):
Tb (0.0367, 0.2680, 0.2500)  4 Te 3.06-3.14, 1 Tl 3.34
Tb (0.2312, 0.9633, 0.2500)  4 Te 3.06-3.14, 1 Tl 3.34
Tb (0.2680, 0.2312, 0.7500)  4 Te 3.06-3.14, 1 Tl 3.34
Tb (0.7320, 0.7688, 0.2500)  4 Te 3.06-3.14, 1 Tl 3.34
Tb (0.7688, 0.0367, 0.7500)  4 Te 3.06-3.14, 1 Tl 3.34
Tb (0.9633, 0.7320, 0.7500)  4 Te 3.06-3.14, 1 Tl 3.34
Tl (0.3333, 0.6667, 0.2500)  3 Tb 3.34, 3 Te 3.40
Tl (0.6667, 0.3333, 0.7500)  3 Tb 3.34, 3 Te 3.40
Te (0.0607, 0.4018, 0.7500)  4 Tb 3.06-3.14, 1 Tl 3.40
Te (0.3411, 0.9393, 0.7500)  4 Tb 3.06-3.14, 1 Tl 3.40
Te (0.4018, 0.3411, 0.2500)  4 Tb 3.06-3.14, 1 Tl 3.40
Te (0.5982, 0.6589, 0.7500)  4 Tb 3.06-3.14, 1 Tl 3.40
Te (0.6589, 0.0607, 0.2500)  4 Tb 3.06-3.14, 1 Tl 3.40
Te (0.9393, 0.5982, 0.2500)  4 Tb 3.06-3.14, 1 Tl 3.40